# 1
Compound: LiMgH2Cl
Source: the Alexandria database
Functional: GGA-PBEsol
Structure: relaxed

```
data_LiMgH2Cl
_cell_length_a 3.6729
_cell_length_b 3.6729
_cell_length_c 5.2499
_cell_angle_alpha 90.00
_cell_angle_beta 90.00
_cell_angle_gamma 90.00
_symmetry_space_group_name_H-M 'P 1'
_symmetry_Int_Tables_number 1
loop_
_symmetry_equiv_pos_as_xyz
'x,y,z'
loop_
_atom_site_label
_atom_site_fract_x
_atom_site_fract_y
_atom_site_fract_z
Li1 0.0000 0.0000 0.0000
Mg1 0.5000 0.5000 0.5000
H1 0.0000 0.5000 0.5000
H2 0.5000 0.0000 0.5000
Cl1 0.5000 0.5000 0.0000
```

Results
M_tot = 0.00 μB per formula unit
total energy = -3.118 eV/atom

***

# 2
Compound: LiH2ClO
Source: the Alexandria database
Functional: GGA-PBEsol
Structure: relaxed

```
data_LiH2ClO
_cell_length_a 5.3325
_cell_length_b 5.3325
_cell_length_c 7.5246
_cell_angle_alpha 90.00
_cell_angle_beta 90.00
_cell_angle_gamma 89.36
_symmetry_space_group_name_H-M 'P 1'
_symmetry_Int_Tables_number 1
loop_
_symmetry_equiv_pos_as_xyz
'x,y,z'
loop_
_atom_site_label
_atom_site_fract_x
_atom_site_fract_y
_atom_site_fract_z
Li1 0.0000 0.0000 0.0000
Li2 0.0000 0.0000 0.5000
Li3 0.3136 0.6864 0.7500
Li4 0.6864 0.3136 0.2500
H1 0.2175 0.5776 0.0753
H2 0.2175 0.5776 0.4247
H3 0.4224 0.7825 0.0753
H4 0.4224 0.7825 0.4247
H5 0.5776 0.2175 0.5753
H6 0.5776 0.2175 0.9247
H7 0.7825 0.4224 0.5753
H8 0.7825 0.4224 0.9247
Cl1 0.2062 0.2694 0.2500
Cl2 0.2694 0.2062 0.7500
Cl3 0.7306 0.7938 0.2500
Cl4 0.7938 0.7306 0.7500
O1 0.2684 0.7316 0.0098
O2 0.2684 0.7316 0.4902
O3 0.7316 0.2684 0.5098
O4 0.7316 0.2684 0.9902
```

Results
M_tot = 0.00 μB per formula unit
total energy = -4.544 eV/atom

***

# 3
Compound: Li4H3ClO3
Source: the Alexandria database
Functional: GGA-PBEsol
Structure: relaxed

```
data_Li4H3ClO3
_cell_length_a 5.2928
_cell_length_b 7.2597
_cell_length_c 6.1261
_cell_angle_alpha 90.00
_cell_angle_beta 92.53
_cell_angle_gamma 90.00
_symmetry_space_group_name_H-M 'P 1'
_symmetry_Int_Tables_number 1
loop_
_symmetry_equiv_pos_as_xyz
'x,y,z'
loop_
_atom_site_label
_atom_site_fract_x
_atom_site_fract_y
_atom_site_fract_z
Li1 0.0644 0.2500 0.4201
Li2 0.3503 0.5149 0.6475
Li3 0.3503 0.9851 0.6475
Li4 0.3934 0.2500 0.1657
Li5 0.6066 0.7500 0.8343
Li6 0.6497 0.0149 0.3525
Li7 0.6497 0.4851 0.3525
Li8 0.9356 0.7500 0.5799
H1 0.1539 0.7500 0.8939
H2 0.1798 0.5425 0.2647
H3 0.1798 0.9575 0.2647
H4 0.8202 0.0425 0.7353
H5 0.8202 0.4575 0.7353
H6 0.8461 0.2500 0.1061
Cl1 0.1523 0.2500 0.8245
Cl2 0.8477 0.7500 0.1755
O1 0.2478 0.7500 0.7596
O2 0.2852 0.0476 0.3449
O3 0.2852 0.4524 0.3449
O4 0.7148 0.5476 0.6551
O5 0.7148 0.9524 0.6551
O6 0.7522 0.2500 0.2404
```

Results
M_tot = 0.00 μB per formula unit
total energy = -4.846 eV/atom